one.
The following is a PBE-GGA calculation of GaCuNi6 after structural relaxation, from Alexandria via LeMat-Bulk.

Cell lengths 7.0958, 10.0941, 10.0840 Å; angles 90.00, 90.00, 90.00 degrees
With the nearest neighbours (Å) after each atom.
Space group Cmmm (No. 65)
Symmetry-distinct sites (fractional):
Ga  0.0000  0.0000  0.2490 x4  12 Ni 2.51-2.53
Ga  0.0000  0.2498  0.5000 x4  12 Ni 2.52-2.54
Cu  0.0000  0.2499  0.0000 x4  12 Ni 2.50-2.52
Cu  0.0000  0.5000  0.2484 x4  12 Ni 2.50-2.54
Ni  0.0000  0.0000  0.0000 x2  2 Ga 2.51, 8 Ni 2.52, 2 Cu 2.52
Ni  0.0000  0.0000  0.5000 x2  4 Ga 2.52-2.53, 8 Ni 2.52
Ni  0.0000  0.2497  0.2486 x8  2 Cu 2.51-2.53, 8 Ni 2.51-2.53, 2 Ga 2.52-2.54
Ni  0.0000  0.5000  0.0000 x2  4 Cu 2.50-2.52, 8 Ni 2.51
Ni  0.0000  0.5000  0.5000 x2  8 Ni 2.51, 2 Ga 2.53, 2 Cu 2.54
Ni  0.2488  0.3747  0.1241 x16  8 Ni 2.50-2.53, 3 Cu 2.50-2.52, 1 Ga 2.52
Ni  0.2487  0.3753  0.3742 x16  8 Ni 2.51-2.54, 1 Cu 2.51, 3 Ga 2.52-2.53

Computed properties:
DOS(E_F): 69.39 states/eV per cell
Calculated volume: 722.3 Å³/cell

two.
The following is a PBE-GGA calculation of GaCuNi6 after structural relaxation, from Alexandria via LeMat-Bulk.

Cell lengths 7.0973, 4.7595, 6.3323 Å; angles 90.00, 107.24, 90.00 degrees
With the nearest neighbours (Å) after each atom.
Space group C2/m (No. 12)
Symmetry-distinct sites (fractional):
Ga  0.0000  0.0000  0.0000 x2  10 Ni 2.45-2.59
Cu  0.0000  0.5000  0.5000 x2  6 Ni 2.36-2.50
Ni  0.1340  0.0000  0.4278 x4  5 Ni 2.34-2.53, 1 Cu 2.50, 1 Ga 2.59
Ni  0.2026  0.2396  0.7998 x8  5 Ni 2.28-2.53, 1 Cu 2.36, 2 Ga 2.45-2.46

Computed properties:
DOS(E_F): 26.48 states/eV per cell
Calculated volume: 204.3 Å³/cell

Energetically preferred structure: one | next structure: +284 meV/atom